Entry from Alexandria: a relaxed TaMn2Re crystal (GGA-PBE).

a = 4.283 Å, b = 4.283 Å, c = 2.990 Å
α = 90.00°, β = 90.00°, γ = 89.99°
Site moments in Bohr magnetons follow the coordinates.
Fractional coordinates of all 4 atoms:
Mn1 0.000 0.000 0.000  0.76
Mn2 0.500 0.500 0.000  0.76
Re1 0.500 0.000 0.500  0.08
Ta1 0.000 0.500 0.500  -0.17

Results
DOS(E_F) = 1.55 states/eV/atom
energy relative to the elements = 2 meV per atom
total moment = 1.352 μB/cell
DFT total energy = -10.66 eV per atom
density = 14.4 g/cm3
SG = P4/mmm (123)

Entry from Alexandria: a relaxed K3Th3MgTe8 crystal (GGA-PBE).

a = 8.976 Å, b = 8.976 Å, c = 9.923 Å
α = 116.88°, β = 89.99°, γ = 120.01°
Fractional coordinates of all 15 atoms:
Te1 0.768 0.027 0.295
Te2 0.258 0.027 0.295
Te3 0.742 0.973 0.705
Th1 0.500 0.500 0.500
K1 0.000 0.500 0.000
Te4 0.740 0.480 0.720
Mg1 0.000 0.000 0.500
Th2 0.000 0.500 0.500
K2 0.000 0.000 0.000
Te5 0.231 0.463 0.705
Th3 0.500 0.000 0.500
Te6 0.232 0.973 0.705
Te7 0.260 0.520 0.280
K3 0.500 0.500 0.000
Te8 0.769 0.537 0.295

Results
DOS(E_F) = 0.43 states/eV/atom
total moment = 0.002 μB/cell
DFT total energy = -4.63 eV per atom
density = 5.2 g/cm3
SG = R-3m (166)

Entry from Alexandria: a relaxed Ti2Co2Au crystal (GGA-PBE).

a = 6.923 Å, b = 6.923 Å, c = 2.916 Å
α = 90.00°, β = 90.00°, γ = 90.00°
Fractional coordinates of all 10 atoms:
Co1 0.133 0.367 0.000
Co2 0.367 0.867 0.000
Au1 0.500 0.500 0.000
Co3 0.867 0.633 0.000
Au2 0.000 0.000 0.000
Co4 0.633 0.133 0.000
Ti1 0.837 0.337 0.500
Ti2 0.337 0.163 0.500
Ti3 0.663 0.837 0.500
Ti4 0.163 0.663 0.500

Results
DOS(E_F) = 0.78 states/eV/atom
energy relative to the elements = -386 meV per atom
total moment = 0.000 μB/cell
DFT total energy = -7.04 eV per atom
density = 9.8 g/cm3
SG = P4/mbm (127)

Entry from Alexandria: a relaxed ZrSiRu crystal (GGA-PBE).

a = 3.095 Å, b = 3.095 Å, c = 6.114 Å
α = 90.00°, β = 90.00°, γ = 120.00°
Fractional coordinates of all 3 atoms:
Zr1 0.333 0.667 0.664
Ru1 0.000 0.000 0.034
Si1 0.667 0.333 0.302

Results
DOS(E_F) = 1.01 states/eV/atom
total moment = 0.000 μB/cell
DFT total energy = -7.96 eV per atom
density = 7.2 g/cm3
SG = P3m1 (156)